Entry 1:
Computed, not measured: an optimized crystal structure of Sr3Mn2 at the PBE-GGA level of DFT.

Cell and atoms, written as extended XYZ:
```
10
Lattice="0.000 8.597 3.274 6.094 0.000 3.274 6.094 8.597 0.000" Properties=species:S:1:pos:R:3 pbc="T T T"
Sr 0.000 0.000 0.000
Sr 3.047 4.299 1.637
Sr 6.609 6.739 3.227
Sr 5.579 10.455 3.227
Sr 8.626 11.038 4.864
Sr 9.656 14.754 4.864
Mn 8.898 9.359 1.868
Mn 5.851 3.537 3.505
Mn 3.290 7.835 1.868
Mn 6.337 13.658 3.505
```

Total DFT energy (no corrections), eV per atom: -4.04

***

Entry 2:
Computed, not measured: an optimized crystal structure of CdGeRh2 at the PBE-GGA level of DFT.

Cell and atoms, written as extended XYZ:
```
4
Lattice="2.984 0.000 0.000 0.000 2.984 0.000 0.000 0.000 6.985" Properties=species:S:1:pos:R:3 pbc="T T T"
Cd 0.000 0.000 0.000
Ge 0.000 0.000 3.492
Rh 1.492 1.492 2.034
Rh 1.492 1.492 4.951
```

Total DFT energy (no corrections), eV per atom: -5.45

***

Entry 3:
Computed, not measured: an optimized crystal structure of MgAg2Au at the PBE-GGA level of DFT.

Cell and atoms, written as extended XYZ:
```
4
Lattice="4.003 0.000 0.000 0.000 4.128 0.000 0.000 0.000 4.341" Properties=species:S:1:pos:R:3 pbc="T T T"
Mg 0.000 0.000 0.000
Ag 0.000 2.064 2.171
Ag 2.001 0.000 2.171
Au 2.001 2.064 0.000
```

Total DFT energy (no corrections), eV per atom: -2.90

***

Quick rundown of calculated volume, same order as above: 34.30 15.55 17.93 Å³/atom